# CePmTeSe, optimized geometry, DFT GGA-PBE
data_CePmTeSe
_symmetry_space_group_name_H-M 'P 1'
_symmetry_Int_Tables_number 1
_cell_length_a 5.312
_cell_length_b 5.312
_cell_length_c 5.312
_cell_angle_alpha 60.00
_cell_angle_beta 60.00
_cell_angle_gamma 60.00
loop_
_symmetry_equiv_pos_as_xyz
'x,y,z'
loop_
_atom_site_label
_atom_site_type_symbol
_atom_site_fract_x
_atom_site_fract_y
_atom_site_fract_z
Te1 Te 0.750 0.750 0.750
Se1 Se 0.250 0.250 0.250
Ce1 Ce 0.000 0.000 0.000
Pm1 Pm 0.500 0.500 0.500
# calculated volume: 26.50 A^3/atom
# energy: -5.7172 eV/atom
# total moment: 1.9 μB per formula unit
# crystal system: cubic
# uncorrected formation energy: -134.07 kJ/mol of atoms